The following is a DFT calculation (PBE) of a relaxed structure of Tb6Pr3Dy2Sc.

Computed properties:
space-group type	C2/m, No. 12
total magnetic moment	0.0	μB per cell
formation energy	2.93	kJ/mol of atoms
crystal system	monoclinic

a = 6.195 Å, b = 6.195 Å, c = 11.832 Å
α = 95.00°, β = 95.00°, γ = 120.00°
Fractional positions:
1 Tb 0.081 0.411 0.243
2 Tb 0.250 0.250 0.757
3 Tb 0.411 0.081 0.243
4 Tb 0.589 0.919 0.757
5 Tb 0.750 0.750 0.243
6 Tb 0.919 0.589 0.757
7 Pr 0.167 0.833 0.500
8 Pr 0.500 0.500 0.500
9 Pr 0.833 0.167 0.500
10 Dy 0.334 0.666 0.000
11 Dy 0.666 0.334 0.000
12 Sc 0.000 0.000 0.000

The following is a DFT calculation (PBE) of a relaxed structure of TbPr4Dy2Sc.

Computed properties:
space-group type	Pmmm, No. 47
total magnetic moment	0.0	μB per cell
formation energy	2.78	kJ/mol of atoms
crystal system	orthorhombic

a = 5.129 Å, b = 5.145 Å, c = 9.955 Å
α = 90.00°, β = 90.00°, γ = 90.00°
Fractional positions:
1 Tb 0.000 0.000 0.000
2 Pr 0.000 0.500 0.255
3 Pr 0.000 0.500 0.745
4 Pr 0.500 0.000 0.255
5 Pr 0.500 0.000 0.745
6 Dy 0.000 0.000 0.500
7 Dy 0.500 0.500 0.000
8 Sc 0.500 0.500 0.500